Material: Be3Pt
Method: DFT, PBE
State: relaxed

Lattice parameters (Å, degrees): 3.8890 4.8137 4.2896 90.00 90.00 90.00
With the nearest neighbours (Å) after each atom.
Fractional coordinates of all 8 atoms:
Be (0.2500, 0.0079, 0.1597)  8 Be 2.33-2.50, 4 Pt 2.40-2.48
Be (0.2500, 0.4921, 0.1597)  8 Be 2.33-2.50, 4 Pt 2.40-2.48
Be (0.2500, 0.7500, 0.6540)  4 Pt 2.39-2.41, 8 Be 2.40-2.50
Be (0.7500, 0.2500, 0.3460)  4 Pt 2.39-2.41, 8 Be 2.40-2.50
Be (0.7500, 0.5079, 0.8403)  8 Be 2.33-2.50, 4 Pt 2.40-2.48
Be (0.7500, 0.9921, 0.8403)  8 Be 2.33-2.50, 4 Pt 2.40-2.48
Pt (0.2500, 0.2500, 0.6708)  12 Be 2.39-2.48
Pt (0.7500, 0.7500, 0.3292)  12 Be 2.39-2.48

As for the total energy: -38.51 eV per cell. The value obtained for the magnetic moment is 0.00 μB/atom. The value obtained for the density is 9.19 g cm⁻³.